Entry from Alexandria: a relaxed Ba2NpPbS5 crystal (PBE).

Cell: 4.264 9.219 14.129 Å, 90.00 90.00 103.37°
Site moments in Bohr magnetons follow the coordinates.
Sites, in units of the cell vectors:
S1 0.508 0.017 0.263  -0.02
S2 0.702 0.403 0.908  -0.08
Np1 0.226 0.451 0.029  3.31
Ba1 0.086 0.172 0.658  0.00
S3 0.298 0.597 0.408  -0.08
S4 0.738 0.475 0.154  -0.08
S5 0.083 0.165 0.072  -0.07
Np2 0.774 0.549 0.529  3.31
Pb1 0.546 0.091 0.950  -0.01
S6 0.262 0.525 0.654  -0.08
Ba2 0.137 0.275 0.300  0.00
S7 0.629 0.258 0.490  -0.05
S8 0.917 0.835 0.572  -0.07
Ba3 0.863 0.725 0.800  0.00
S9 0.371 0.742 0.990  -0.05
S10 0.492 0.983 0.763  -0.02
Pb2 0.454 0.909 0.450  -0.01
Ba4 0.914 0.828 0.158  0.00

Magnetization, μB per atom: 0.3332
Raw formation energy, eV per atom: -1.43